VASP calculation (PBE) on an optimized crystal structure of TaAlCo.

a b c (Å): 2.8280 2.8280 6.4389
angles (deg): 90.00 90.00 120.00
Last column: nearest neighbours and their distance in Å.
Atoms (fractional coordinates):
Ta (0.3333, 0.6667, 0.6491)  3 Co 2.64, 6 Ta 2.83, 3 Al 2.92
Al (0.0000, 0.0000, 0.0247)  3 Co 2.54, 6 Al 2.83
Co (0.6667, 0.3333, 0.3262)  3 Al 2.54, 3 Ta 2.64, 6 Co 2.83

Its formation energy from the elements is -0.06 eV per formula unit. The magnetic moment is 0.36 Bohr magnetons per cell. As for the uncorrected energy: -7.587 eV/atom. As for the space group: P3m1. The crystal system is trigonal.